## 1
Below is a relaxed YOsIN2 crystal, with properties calculated at the PBE level.

As for the space group: P4/mmm, No. 123.

Geometry as POSCAR:
```
YOsIN2
1.0
4.031 0.000 0.000
0.000 4.031 0.000
0.000 0.000 5.470
N Os Y I
2 1 1 1
Cartesian
2.016 0.000 0.000
0.000 2.016 0.000
0.000 0.000 0.000
2.016 2.016 2.735
0.000 0.000 2.735
```

=====

## 2
Below is a relaxed YOsIN2 crystal, with properties calculated at the PBE level.

As for the space group: P4/mmm, No. 123.

Geometry as POSCAR:
```
YOsIN2
1.0
-2.473 -1.882 -2.978
3.415 -0.387 -2.591
1.256 -5.587 2.489
Os N Y I
1 2 1 1
Cartesian
1.099 -3.928 -1.540
1.708 -0.193 -1.296
-1.236 -0.941 -1.489
0.000 0.000 0.000
0.628 -2.793 1.244
```

=====

Of them, the most stable is 1 and the least stable is 2.

=====

## 1
Below is a relaxed PI2N crystal, with properties calculated at the PBE level.

As for the space group: Fm-3m, No. 225.

Geometry as POSCAR:
```
PI2N
1.0
-2.462 -2.842 3.060
-4.673 -0.985 -0.834
-1.331 -4.456 -1.369
P N I
1 1 2
Cartesian
-4.233 -4.141 0.428
0.000 0.000 0.000
-6.350 -6.211 0.642
-2.117 -2.070 0.214
```

=====

## 2
Below is a relaxed PI2N crystal, with properties calculated at the PBE level.

As for the space group: I-42d, No. 122.

Geometry as POSCAR:
```
PI2N
1.0
-5.541 3.898 1.466
-3.682 -5.726 1.308
-3.528 -0.765 5.087
I P N
4 2 2
Cartesian
-6.233 -1.458 4.901
-10.588 -1.973 6.198
-4.613 1.394 2.301
-4.069 -3.147 2.324
-6.840 1.110 3.971
0.000 0.000 0.000
-5.911 -3.702 3.891
-4.612 -0.914 1.387
```

=====

Of them, the most stable is 2 and the least stable is 1.

=====

## 1
Below is a relaxed PI2N2 crystal, with properties calculated at the PBE level.

As for the space group: P4/mmm, No. 123.

Geometry as POSCAR:
```
PI2N2
1.0
6.504 0.000 0.000
0.000 6.504 0.000
0.000 0.000 3.221
N P I
2 1 2
Cartesian
3.252 3.252 1.611
0.000 0.000 1.611
0.000 0.000 0.000
3.252 0.000 0.000
0.000 3.252 0.000
```

=====

## 2
Below is a relaxed PI2N2 crystal, with properties calculated at the PBE level.

As for the space group: P4/mmm, No. 123.

Geometry as POSCAR:
```
PI2N2
1.0
3.988 0.000 0.000
0.000 3.988 0.000
0.000 0.000 8.553
I N P
2 2 1
Cartesian
0.000 0.000 0.000
0.000 0.000 4.277
0.000 1.994 0.000
1.994 0.000 0.000
1.994 1.994 4.277
```

=====

## 3
Below is a relaxed PI2N2 crystal, with properties calculated at the PBE level.

As for the space group: P4/mmm, No. 123.

Geometry as POSCAR:
```
PI2N2
1.0
-3.644 -0.930 1.296
-0.817 -1.689 -3.507
2.425 -6.156 2.401
I P N
2 1 2
Cartesian
-1.018 -4.388 0.095
1.212 -3.078 1.200
0.000 0.000 0.000
-0.408 -0.845 -1.754
-1.822 -0.465 0.648
```

=====

Of them, the most stable is 1 and the least stable is 2.

=====

## 1
Below is a relaxed P2IN crystal, with properties calculated at the PBE level.

As for the space group: I-42d, No. 122.

Geometry as POSCAR:
```
P2IN
1.0
-4.160 -2.694 0.193
0.016 -0.379 -4.945
1.249 -6.635 -1.975
P I N
4 2 2
Cartesian
-1.231 -2.901 -3.512
-1.252 -2.721 -1.039
-2.693 -7.571 -4.411
-0.613 -6.222 -4.492
-2.491 -5.433 -2.079
0.000 0.000 0.000
-0.404 -4.275 -4.648
-2.072 -1.536 -2.376
```

=====

## 2
Below is a relaxed P2IN crystal, with properties calculated at the PBE level.

As for the space group: Fm-3m, No. 225.

Geometry as POSCAR:
```
P2IN
1.0
0.000 3.206 3.206
3.206 0.000 3.206
3.206 3.206 0.000
P N I
2 1 1
Cartesian
1.603 1.603 1.603
4.809 4.809 4.809
0.000 0.000 0.000
3.206 3.206 3.206
```

=====

Of them, the most stable is 1 and the least stable is 2.

=====

## 1
Below is a relaxed P3IN crystal, with properties calculated at the PBE level.

As for the space group: Pm-3m, No. 221.

Geometry as POSCAR:
```
P3IN
1.0
-3.147 1.882 -3.553
-2.985 -4.116 0.463
-2.693 2.362 3.638
P I N
3 1 1
Cartesian
-1.492 -2.058 0.232
-1.573 0.941 -1.776
-1.347 1.181 1.819
0.000 0.000 0.000
-4.413 0.064 0.274
```

=====

## 2
Below is a relaxed P3IN crystal, with properties calculated at the PBE level.

As for the space group: Pm-3m, No. 221.

Geometry as POSCAR:
```
P3IN
1.0
4.308 0.000 0.000
0.000 4.308 0.000
0.000 0.000 4.308
P N I
3 1 1
Cartesian
0.000 0.000 2.154
0.000 2.154 0.000
2.154 0.000 0.000
0.000 0.000 0.000
2.154 2.154 2.154
```

=====

Of them, the most stable is 2 and the least stable is 1.

=====

## 1
Below is a relaxed PPdIN2 crystal, with properties calculated at the PBE level.

As for the space group: P4/mmm, No. 123.

Geometry as POSCAR:
```
PPdIN2
1.0
-2.719 -0.939 -2.125
0.572 -3.440 0.789
-4.704 0.544 5.779
P Pd N I
1 1 2 1
Cartesian
0.000 0.000 0.000
-3.426 -1.918 2.222
0.286 -1.720 0.395
-1.359 -0.470 -1.062
-2.352 0.272 2.889
```

=====

## 2
Below is a relaxed PPdIN2 crystal, with properties calculated at the PBE level.

As for the space group: P4/mmm, No. 123.

Geometry as POSCAR:
```
PPdIN2
1.0
3.887 0.000 0.000
0.000 3.887 0.000
0.000 0.000 8.154
P N Pd I
1 2 1 1
Cartesian
1.944 1.944 4.077
0.000 1.944 0.000
1.944 0.000 0.000
0.000 0.000 0.000
0.000 0.000 4.077
```

=====

Of them, the most stable is 1 and the least stable is 2.